(1)
# PBE TaVPd2S6, relaxed
# total DFT energy (no corrections) = -246.32 eV for the cell shown
# M_tot = 0.00 Bohr magnetons per cell
data_TaVPd2S6
_space_group_name_H-M_alt 'C 1 2/c 1'
_space_group_IT_number 15
_cell_length_a 12.4361
_cell_length_b 10.6418
_cell_length_c 5.9225
_cell_angle_alpha 90.00
_cell_angle_beta 98.07
_cell_angle_gamma 90.00
loop_
_space_group_symop_operation_xyz
'x,y,z'
'-x,-y,-z'
'-x,y,-z+1/2'
'x,-y,z+1/2'
'x+1/2,y+1/2,z'
'-x+1/2,-y+1/2,-z'
'-x+1/2,y+1/2,-z+1/2'
'x+1/2,-y+1/2,z+1/2'
loop_
_atom_site_label
_atom_site_type_symbol
_atom_site_fract_x
_atom_site_fract_y
_atom_site_fract_z
Ta1 Ta 0.0000 0.1041 0.2500
V1 V 0.0000 0.2573 0.7500
Pd1 Pd 0.1889 0.4281 0.3123
S1 S 0.0932 0.4096 0.6164
S2 S 0.1128 0.0837 0.6205
S3 S 0.1208 0.2413 0.1040

=====

(2)
# PBE MgTl2F, relaxed
# total DFT energy (no corrections) = -41.70 eV for the cell shown
# M_tot = 0.00 Bohr magnetons per cell
data_MgTl2F
_space_group_name_H-M_alt 'I -4 2 d'
_space_group_IT_number 122
_space_group_name_Hall 'I -4 2bw'
_cell_length_a 5.4760
_cell_length_b 5.4760
_cell_length_c 15.9746
_cell_angle_alpha 90.00
_cell_angle_beta 90.00
_cell_angle_gamma 90.00
loop_
_atom_site_label
_atom_site_type_symbol
_atom_site_fract_x
_atom_site_fract_y
_atom_site_fract_z
Mg1 Mg 0.0000 0.0000 0.0000
Tl1 Tl 0.1693 0.2500 0.6250
F1 F 0.0000 0.0000 0.5000

=====

(3)
# PBE YCd3Hg, relaxed
# total DFT energy (no corrections) = -41.83 eV for the cell shown
# M_tot = 0.00 Bohr magnetons per cell
# energy of formation = -0.19 eV per atom
data_YCd3Hg
_space_group_name_H-M_alt 'P n m a'
_space_group_IT_number 62
_cell_length_a 9.5383
_cell_length_b 4.2079
_cell_length_c 12.2308
_cell_angle_alpha 90.00
_cell_angle_beta 90.00
_cell_angle_gamma 90.00
loop_
_space_group_symop_operation_xyz
'x,y,z'
'-x,-y,-z'
'-x+1/2,-y,z+1/2'
'x+1/2,y,-z+1/2'
'x+1/2,-y+1/2,-z+1/2'
'-x+1/2,y+1/2,z+1/2'
'-x,y+1/2,-z'
'x,-y+1/2,z'
loop_
_atom_site_label
_atom_site_type_symbol
_atom_site_fract_x
_atom_site_fract_y
_atom_site_fract_z
Y1 Y 0.1686 0.2500 0.0026
Cd1 Cd 0.0901 0.2500 0.3864
Cd2 Cd 0.0909 0.7500 0.1992
Cd3 Cd 0.1287 0.7500 0.8017
Hg1 Hg 0.1271 0.2500 0.6188

=====

(4)
# PBE Y6Si2GeSe3, relaxed
# total DFT energy (no corrections) = -161.91 eV for the cell shown
# M_tot = 0.00 Bohr magnetons per cell
data_Y6Si2GeSe3
_space_group_name_H-M_alt 'C 1 2/m 1'
_space_group_IT_number 12
_cell_length_a 18.0708
_cell_length_b 4.1216
_cell_length_c 8.3002
_cell_angle_alpha 90.00
_cell_angle_beta 104.13
_cell_angle_gamma 90.00
loop_
_space_group_symop_operation_xyz
'x,y,z'
'-x,-y,-z'
'-x,y,-z'
'x,-y,z'
'x+1/2,y+1/2,z'
'-x+1/2,-y+1/2,-z'
'-x+1/2,y+1/2,-z'
'x+1/2,-y+1/2,z'
loop_
_atom_site_label
_atom_site_type_symbol
_atom_site_fract_x
_atom_site_fract_y
_atom_site_fract_z
Y1 Y 0.0033 0.0000 0.2438
Y2 Y 0.1644 0.5000 0.0924
Y3 Y 0.1700 0.5000 0.5751
Si1 Si 0.1667 0.0000 0.3334
Ge1 Ge 0.0000 0.5000 0.0000
Se1 Se 0.0000 0.5000 0.5000
Se2 Se 0.1665 0.0000 0.8332

=====

(5)
# PBE Zn2SbW, relaxed
# total DFT energy (no corrections) = -52.98 eV for the cell shown
# M_tot = 0.00 Bohr magnetons per cell
data_Zn2SbW
_space_group_name_H-M_alt 'R -3 m'
_space_group_IT_number 166
_space_group_name_Hall '-R 3 2"'
_cell_length_a 3.0825
_cell_length_b 3.0825
_cell_length_c 26.7592
_cell_angle_alpha 90.00
_cell_angle_beta 90.00
_cell_angle_gamma 120.00
loop_
_atom_site_label
_atom_site_type_symbol
_atom_site_fract_x
_atom_site_fract_y
_atom_site_fract_z
Zn1 Zn 0.0000 0.0000 0.2442
Sb1 Sb 0.0000 0.0000 0.0000
W1 W 0.0000 0.0000 0.5000

=====

(6)
# PBE BH3F, relaxed
# total DFT energy (no corrections) = -11.07 eV for the cell shown
# M_tot = 0.00 Bohr magnetons per cell
data_BH3F
_space_group_name_H-M_alt 'P m -3 m'
_space_group_IT_number 221
_space_group_name_Hall '-P 4 2 3'
_cell_length_a 3.2026
_cell_length_b 3.2026
_cell_length_c 3.2026
_cell_angle_alpha 90.00
_cell_angle_beta 90.00
_cell_angle_gamma 90.00
loop_
_atom_site_label
_atom_site_type_symbol
_atom_site_fract_x
_atom_site_fract_y
_atom_site_fract_z
B1 B 0.0000 0.0000 0.0000
H1 H 0.0000 0.5000 0.5000
F1 F 0.5000 0.5000 0.5000

=====

(7)
# PBE CsSb2Pt, relaxed
# total DFT energy (no corrections) = -53.86 eV for the cell shown
# M_tot = 0.00 Bohr magnetons per cell
data_CsSb2Pt
_space_group_name_H-M_alt 'F m -3 m'
_space_group_IT_number 225
_space_group_name_Hall '-F 4 2 3'
_cell_length_a 7.5716
_cell_length_b 7.5716
_cell_length_c 7.5716
_cell_angle_alpha 90.00
_cell_angle_beta 90.00
_cell_angle_gamma 90.00
loop_
_atom_site_label
_atom_site_type_symbol
_atom_site_fract_x
_atom_site_fract_y
_atom_site_fract_z
Cs1 Cs 0.0000 0.0000 0.0000
Sb1 Sb 0.2500 0.2500 0.2500
Pt1 Pt 0.0000 0.0000 0.5000

=====

(8)
# PBE K6Hg2Au, relaxed
# total DFT energy (no corrections) = -47.72 eV for the cell shown
# M_tot = 0.00 Bohr magnetons per cell
# energy of formation = -0.16 eV per atom
data_K6Hg2Au
_space_group_name_H-M_alt 'I m m m'
_space_group_IT_number 71
_space_group_name_Hall '-I 2 2'
_cell_length_a 11.3300
_cell_length_b 11.7866
_cell_length_c 11.9108
_cell_angle_alpha 90.00
_cell_angle_beta 90.00
_cell_angle_gamma 90.00
loop_
_atom_site_label
_atom_site_type_symbol
_atom_site_fract_x
_atom_site_fract_y
_atom_site_fract_z
K1 K 0.0000 0.1962 0.2456
K2 K 0.2231 0.5000 0.3329
K3 K 0.2450 0.3307 0.0000
Hg1 Hg 0.0000 0.3694 0.5000
Hg2 Hg 0.0000 0.5000 0.1245
Au1 Au 0.0000 0.0000 0.0000
Au2 Au 0.0000 0.0000 0.5000

=====

(9)
# PBE Tb4PuZn5, relaxed
# total DFT energy (no corrections) = -41.98 eV for the cell shown
# M_tot = 6.38 Bohr magnetons per cell
# energy of formation = -0.28 eV per atom
data_Tb4PuZn5
_space_group_name_H-M_alt 'P 4/m m m'
_space_group_IT_number 123
_space_group_name_Hall '-P 4 2'
_cell_length_a 3.5792
_cell_length_b 3.5792
_cell_length_c 17.8836
_cell_angle_alpha 90.00
_cell_angle_beta 90.00
_cell_angle_gamma 90.00
loop_
_atom_site_label
_atom_site_type_symbol
_atom_site_fract_x
_atom_site_fract_y
_atom_site_fract_z
Tb1 Tb 0.0000 0.0000 0.0998
Tb2 Tb 0.0000 0.0000 0.2995
Pu1 Pu 0.0000 0.0000 0.5000
Zn1 Zn 0.5000 0.5000 0.0000
Zn2 Zn 0.5000 0.5000 0.1998
Zn3 Zn 0.5000 0.5000 0.3969

=====

(10)
# PBE TcI2Cl, relaxed
# total DFT energy (no corrections) = -49.31 eV for the cell shown
# M_tot = 0.00 Bohr magnetons per cell
data_TcI2Cl
_space_group_name_H-M_alt 'F m -3 m'
_space_group_IT_number 225
_space_group_name_Hall '-F 4 2 3'
_cell_length_a 7.0824
_cell_length_b 7.0824
_cell_length_c 7.0824
_cell_angle_alpha 90.00
_cell_angle_beta 90.00
_cell_angle_gamma 90.00
loop_
_atom_site_label
_atom_site_type_symbol
_atom_site_fract_x
_atom_site_fract_y
_atom_site_fract_z
Tc1 Tc 0.0000 0.0000 0.0000
I1 I 0.2500 0.2500 0.2500
Cl1 Cl 0.0000 0.0000 0.5000

=====

(11)
# PBE CaTb5Ho6, relaxed
# total DFT energy (no corrections) = -104.10 eV for the cell shown
# M_tot = 0.00 Bohr magnetons per cell
# energy of formation = 0.05 eV per atom
data_CaTb5Ho6
_space_group_name_H-M_alt 'C 1 2/m 1'
_space_group_IT_number 12
_cell_length_a 11.8155
_cell_length_b 10.6893
_cell_length_c 6.1708
_cell_angle_alpha 90.00
_cell_angle_beta 100.02
_cell_angle_gamma 90.00
loop_
_space_group_symop_operation_xyz
'x,y,z'
'-x,-y,-z'
'-x,y,-z'
'x,-y,z'
'x+1/2,y+1/2,z'
'-x+1/2,-y+1/2,-z'
'-x+1/2,y+1/2,-z'
'x+1/2,-y+1/2,z'
loop_
_atom_site_label
_atom_site_type_symbol
_atom_site_fract_x
_atom_site_fract_y
_atom_site_fract_z
Ca1 Ca 0.0000 0.0000 0.0000
Tb1 Tb 0.0000 0.1711 0.5000
Tb2 Tb 0.0000 0.3387 0.0000
Tb3 Tb 0.0000 0.5000 0.5000
Ho1 Ho 0.2455 0.3303 0.7475
Ho2 Ho 0.2480 0.5000 0.2588

=====

(12)
# PBE ScZn2Co2, relaxed
# total DFT energy (no corrections) = -46.95 eV for the cell shown
# M_tot = 0.00 Bohr magnetons per cell
# energy of formation = -0.08 eV per atom
data_ScZn2Co2
_space_group_name_H-M_alt 'I 4/m m m'
_space_group_IT_number 139
_space_group_name_Hall '-I 4 2'
_cell_length_a 3.7826
_cell_length_b 3.7826
_cell_length_c 10.3957
_cell_angle_alpha 90.00
_cell_angle_beta 90.00
_cell_angle_gamma 90.00
loop_
_atom_site_label
_atom_site_type_symbol
_atom_site_fract_x
_atom_site_fract_y
_atom_site_fract_z
Sc1 Sc 0.0000 0.0000 0.0000
Zn1 Zn 0.0000 0.5000 0.2500
Co1 Co 0.0000 0.0000 0.3968